No. 1
! PrSc (PBE, relaxed); values from VASP
&SYSTEM
  ibrav = 0, nat = 4, ntyp = 2
/
ATOMIC_SPECIES
Pr 140.91 Pr.upf
Sc 44.96 Sc.upf
CELL_PARAMETERS angstrom
4.600 0.000 0.000
-2.300 3.984 0.000
0.000 0.000 6.987
ATOMIC_POSITIONS angstrom
Pr 0.000 0.000 0.000
Pr 0.000 0.000 3.493
Sc 0.000 2.656 1.747
Sc 2.300 1.328 5.240
! Total magnetization = 0.02 μB/f.u.
! Energy relative to the elements = 0.77 eV per atom

---

No. 2
! PrSc (PBE, relaxed); values from VASP
&SYSTEM
  ibrav = 0, nat = 4, ntyp = 2
/
ATOMIC_SPECIES
Pr 140.91 Pr.upf
Sc 44.96 Sc.upf
CELL_PARAMETERS angstrom
4.236 0.000 0.000
-2.118 3.668 0.000
0.000 0.000 7.685
ATOMIC_POSITIONS angstrom
Pr 0.000 2.445 1.921
Pr 2.118 1.223 5.764
Sc 0.000 0.000 0.000
Sc 0.000 0.000 3.843
! Total magnetization = 0.02 μB/f.u.
! Energy relative to the elements = 0.54 eV per atom

---

No. 3
! Pr2ScSi2 (PBE, relaxed); values from VASP
&SYSTEM
  ibrav = 0, nat = 10, ntyp = 3
/
ATOMIC_SPECIES
Pr 140.91 Pr.upf
Sc 44.96 Sc.upf
Si 28.09 Si.upf
CELL_PARAMETERS angstrom
4.393 0.000 0.000
-2.197 3.805 0.000
0.000 0.000 16.067
ATOMIC_POSITIONS angstrom
Pr 0.000 2.537 1.314
Pr 0.000 2.537 6.719
Pr 2.197 1.268 9.347
Pr 2.197 1.268 14.753
Sc 0.000 0.000 4.017
Sc 0.000 0.000 12.050
Si 0.000 2.537 10.806
Si 0.000 2.537 13.294
Si 2.197 1.268 2.772
Si 2.197 1.268 5.261
! Total magnetization = 0.29 μB/f.u.
! Calculated total energy = -5.78 eV/atom

---

No. 4
! PrSc2Si2 (PBE, relaxed); values from VASP
&SYSTEM
  ibrav = 0, nat = 5, ntyp = 3
/
ATOMIC_SPECIES
Pr 140.91 Pr.upf
Sc 44.96 Sc.upf
Si 28.09 Si.upf
CELL_PARAMETERS angstrom
-2.160 2.160 5.940
2.160 -2.160 5.940
2.160 2.160 -5.940
ATOMIC_POSITIONS angstrom
Pr 0.000 0.000 0.000
Sc 2.160 0.000 2.970
Sc 0.000 2.160 2.970
Si 0.000 0.000 4.725
Si 0.000 0.000 7.155
! Total magnetization = 0.37 μB/f.u.
! Calculated total energy = -6.33 eV/atom

---

No. 5
! PrSmSc2Si2 (PBE, relaxed); values from VASP
&SYSTEM
  ibrav = 0, nat = 6, ntyp = 4
/
ATOMIC_SPECIES
Pr 140.91 Pr.upf
Sm 150.36 Sm.upf
Sc 44.96 Sc.upf
Si 28.09 Si.upf
CELL_PARAMETERS angstrom
-2.142 2.142 7.928
2.142 -2.142 7.928
2.142 2.142 -7.928
ATOMIC_POSITIONS angstrom
Pr 0.000 0.000 0.000
Sm 0.000 0.000 5.597
Sc 2.142 0.000 2.824
Sc 0.000 2.142 2.824
Si 0.000 0.000 8.798
Si 0.000 0.000 12.683
! Total magnetization = 1.70 μB/f.u.
! Calculated total energy = -6.12 eV/atom

---

No. 6
! PrSmSc (PBE, relaxed); values from VASP
&SYSTEM
  ibrav = 0, nat = 3, ntyp = 3
/
ATOMIC_SPECIES
Pr 140.91 Pr.upf
Sm 150.36 Sm.upf
Sc 44.96 Sc.upf
CELL_PARAMETERS angstrom
0.000 3.778 3.778
3.778 0.000 3.778
3.778 3.778 0.000
ATOMIC_POSITIONS angstrom
Pr 0.000 0.000 0.000
Sm 3.778 3.778 3.778
Sc 1.889 1.889 1.889
! Total magnetization = 0.05 μB/f.u.
! Energy relative to the elements = 0.65 eV per atom

---

No. 7
! PrSmSc2Sn2 (PBE, relaxed); values from VASP
&SYSTEM
  ibrav = 0, nat = 6, ntyp = 4
/
ATOMIC_SPECIES
Pr 140.91 Pr.upf
Sm 150.36 Sm.upf
Sc 44.96 Sc.upf
Sn 118.71 Sn.upf
CELL_PARAMETERS angstrom
-2.249 2.249 8.303
2.249 -2.249 8.303
2.249 2.249 -8.303
ATOMIC_POSITIONS angstrom
Pr 0.000 0.000 0.000
Sm 0.000 0.000 5.812
Sc 2.249 0.000 2.932
Sc 0.000 2.249 2.932
Sn 0.000 0.000 9.125
Sn 0.000 0.000 13.321
! Total magnetization = 1.61 μB/f.u.
! Calculated total energy = -5.67 eV/atom

---

No. 8
! PrScSn (PBE, relaxed); values from VASP
&SYSTEM
  ibrav = 0, nat = 3, ntyp = 3
/
ATOMIC_SPECIES
Pr 140.91 Pr.upf
Sc 44.96 Sc.upf
Sn 118.71 Sn.upf
CELL_PARAMETERS angstrom
0.000 3.613 3.613
3.613 0.000 3.613
3.613 3.613 0.000
ATOMIC_POSITIONS angstrom
Pr 0.000 0.000 0.000
Sc 3.613 3.613 3.613
Sn 1.806 1.806 1.806
! Total magnetization = 0.03 μB/f.u.
! Calculated total energy = -5.40 eV/atom

---

Q: Number 6 is which compound?
A: PrSmSc

---

Q: Number 8 is which compound?
A: PrScSn

---

Q: Which value of total magnetization does entry 7 give?
A: 1.61 μB/f.u.

---

Q: Which of these has the highest total magnetization?
A: PrSmSc2Si2